Entry 1:
Ac2Pm4SmTm | PBE-GGA | optimized geometry

Results
* magnetic moment: 0.0 Bohr magnetons per cell
* ΔE_f: 0.39 eV/atom

Cell lengths 9.8287, 9.8287, 12.1378 Å; angles 128.12, 128.12, 88.44 degrees
Closest atoms and distances in Å follow each position.
Positions (direct):
Ac 0.5000 0.0000 0.0000  6 Pm 3.57-3.59, 2 Sm 3.58
Ac 0.5000 0.5000 0.0000  2 Ac 3.58, 6 Pm 3.63-3.70
Ac 0.5000 0.0000 0.5000  6 Pm 3.57-3.59, 2 Sm 3.58
Ac 0.0000 0.0000 0.5000  2 Ac 3.58, 6 Pm 3.63-3.70
Pm 0.2490 0.7203 0.4848  1 Tm 3.23, 1 Pm 3.36, 2 Sm 3.47-3.48, 2 Ac 3.59
Pm 0.2383 0.2579 0.4819  1 Sm 3.30, 2 Tm 3.35-3.36, 2 Ac 3.57-3.69, 2 Pm 3.59
Pm 0.7797 0.2510 0.0152  1 Tm 3.23, 1 Pm 3.36, 2 Sm 3.47-3.48, 2 Ac 3.59
Pm 0.7579 0.7383 0.9819  1 Sm 3.30, 2 Tm 3.35-3.36, 2 Ac 3.57-3.69, 2 Pm 3.59
Pm 0.2203 0.7490 0.9848  1 Tm 3.23, 1 Pm 3.36, 2 Sm 3.47-3.48, 2 Ac 3.59
Pm 0.7510 0.2797 0.5152  1 Tm 3.23, 1 Pm 3.36, 2 Sm 3.47-3.48, 2 Ac 3.59
Pm 0.7617 0.7421 0.5181  1 Sm 3.30, 2 Tm 3.35-3.36, 2 Ac 3.57-3.69, 2 Pm 3.59
Pm 0.2421 0.2617 0.0181  1 Sm 3.30, 2 Tm 3.35-3.36, 2 Ac 3.57-3.69, 2 Pm 3.59
Sm 0.0000 0.5000 0.0000  6 Pm 3.30-3.48, 2 Ac 3.58
Sm 0.0000 0.5000 0.5000  6 Pm 3.30-3.48, 2 Ac 3.58
Tm 0.5000 0.5000 0.5000  6 Pm 3.23-3.36, 2 Tm 3.58
Tm 0.0000 0.0000 0.0000  6 Pm 3.23-3.36, 2 Tm 3.58

=====

Entry 2:
Ac2Pm5SmTm | PBE-GGA | optimized geometry

Results
* magnetic moment: 0.0 Bohr magnetons per cell
* ΔE_f: 0.14 eV/atom

Cell lengths 5.8315, 10.6861, 10.9375 Å; angles 90.00, 90.00, 105.83 degrees
Closest atoms and distances in Å follow each position.
Positions (direct):
Pm 0.2816 0.5633 0.3120  1 Sm 3.11, 1 Ac 3.39
Pm 0.3854 0.7708 0.0199  6 Pm 3.63-4.01, 4 Ac 3.66-3.73, 1 Tm 3.71
Pm 0.0189 0.0379 0.0208  2 Sm 3.33, 3 Ac 3.57-3.70
Pm 0.6146 0.2292 0.5199  6 Pm 3.63-4.01, 4 Ac 3.66-3.73, 1 Tm 3.71
Pm 0.4833 0.9667 0.7424  2 Sm 3.31-3.39, 2 Pm 3.63-3.64, 2 Ac 3.66
Pm 0.9811 0.9621 0.5208  2 Sm 3.33, 3 Ac 3.57-3.70
Pm 0.5167 0.0333 0.2424  2 Sm 3.31-3.39, 2 Pm 3.63-3.64, 2 Ac 3.66
Pm 0.2947 0.5894 0.7031  1 Sm 3.49, 3 Pm 3.52-3.90, 3 Tm 3.60-3.83, 3 Ac 3.65-3.75
Pm 0.7184 0.4367 0.8120  1 Sm 3.11, 1 Ac 3.39
Pm 0.7053 0.4106 0.2031  1 Sm 3.49, 3 Pm 3.52-3.90, 3 Tm 3.60-3.83, 3 Ac 3.65-3.75
Sm 0.5913 0.1826 0.9662  5 Pm 3.11-3.39
Sm 0.4087 0.8174 0.4662  5 Pm 3.11-3.39
Tm 0.2049 0.4098 0.0097  2 Ac 3.57-3.82, 8 Pm 3.60-3.83, 2 Sm 3.77
Tm 0.7951 0.5902 0.5097  2 Ac 3.57-3.82, 8 Pm 3.60-3.83, 2 Sm 3.77
Ac 0.8868 0.7737 0.2327  1 Tm 3.57, 9 Pm 3.57-3.95, 2 Sm 3.90
Ac 0.1170 0.2340 0.3171  8 Pm 3.39-3.66
Ac 0.1132 0.2263 0.7327  1 Tm 3.57, 9 Pm 3.57-3.95, 2 Sm 3.90
Ac 0.8830 0.7660 0.8171  8 Pm 3.39-3.66

=====

Entry 3:
Ac2PmSmTm | PBE-GGA | optimized geometry

Results
* magnetic moment: 0.0 Bohr magnetons per cell
* ΔE_f: 0.25 eV/atom

Cell lengths 6.7967, 8.8636, 6.4515 Å; angles 90.01, 90.00, 90.00 degrees
Closest atoms and distances in Å follow each position.
Positions (direct):
Ac 0.7111 0.2934 0.7500  1 Pm 3.30, 2 Tm 3.64, 1 Ac 3.66
Ac 0.2889 0.7066 0.2500  1 Pm 3.30, 2 Tm 3.64, 1 Ac 3.66
Ac 0.7111 0.7066 0.7500  1 Pm 3.30, 2 Tm 3.64, 1 Ac 3.66
Ac 0.2889 0.2934 0.2500  1 Pm 3.30, 2 Tm 3.64, 1 Ac 3.66
Sm 0.8168 0.5000 0.2500  8 Ac 3.69-4.03, 2 Sm 4.08
Sm 0.1832 0.5000 0.7500  8 Ac 3.69-4.03, 2 Sm 4.08
Pm 0.4131 0.0000 0.7500  2 Tm 3.24, 2 Ac 3.30, 2 Pm 3.44
Pm 0.5869 0.0000 0.2500  2 Tm 3.24, 2 Ac 3.30, 2 Pm 3.44
Tm 0.0000 0.0000 0.5000  2 Tm 3.23, 2 Pm 3.24
Tm 0.0000 0.0000 0.0000  2 Tm 3.23, 2 Pm 3.24

=====

Entry 4:
AcPm2Sm4Tm | PBE-GGA | optimized geometry

Results
* magnetic moment: 0.0 Bohr magnetons per cell
* ΔE_f: 0.03 eV/atom

Cell lengths 5.1766, 5.1632, 11.5929 Å; angles 63.54, 90.00, 90.00 degrees
Closest atoms and distances in Å follow each position.
Positions (direct):
Sm 0.0000 0.7582 0.7415  2 Tm 3.60, 4 Pm 3.60-3.73, 4 Sm 3.66, 2 Ac 3.73
Sm 0.0000 0.2418 0.2585  2 Tm 3.60, 4 Pm 3.60-3.73, 4 Sm 3.66, 2 Ac 3.73
Sm 0.5000 0.2579 0.7418  4 Pm 3.60-3.73, 2 Tm 3.60, 4 Sm 3.66, 2 Ac 3.72
Sm 0.5000 0.7421 0.2582  4 Pm 3.60-3.73, 2 Tm 3.60, 4 Sm 3.66, 2 Ac 3.72
Tm 0.0000 0.5000 0.5000  8 Sm 3.60, 4 Pm 3.66
Pm 0.0000 0.0000 0.0000  4 Ac 3.66, 8 Sm 3.72-3.73
Pm 0.5000 0.0000 0.5000  8 Sm 3.60, 4 Tm 3.66
Ac 0.5000 0.5000 0.0000  4 Pm 3.66, 8 Sm 3.72-3.73

=====

Entry 5:
AcPmSm5Tm2 | PBE-GGA | optimized geometry

Results
* magnetic moment: 0.0 Bohr magnetons per cell
* ΔE_f: 0.09 eV/atom

Cell lengths 5.8043, 9.2506, 12.0911 Å; angles 90.00, 90.00, 108.28 degrees
Closest atoms and distances in Å follow each position.
Positions (direct):
Sm 0.2308 0.4617 0.2209  3 Sm 3.19-3.50, 1 Tm 3.26
Sm 0.4208 0.8416 0.7636  4 Sm 3.52-3.74, 4 Tm 3.52-3.82, 1 Pm 3.56, 1 Ac 3.88
Sm 0.7704 0.5409 0.1277  2 Sm 3.19, 2 Tm 3.26-3.46
Sm 0.4184 0.8368 0.0900  6 Sm 3.52-3.92, 1 Pm 3.56, 4 Tm 3.57-3.70
Sm 0.0593 0.1186 0.0729  3 Tm 3.26-3.58, 1 Sm 3.50, 2 Ac 3.54
Sm 0.5816 0.1632 0.5900  6 Sm 3.52-3.92, 1 Pm 3.56, 4 Tm 3.57-3.70
Sm 0.5792 0.1584 0.2636  4 Sm 3.52-3.74, 4 Tm 3.52-3.82, 1 Pm 3.56, 1 Ac 3.88
Sm 0.9407 0.8814 0.5729  3 Tm 3.26-3.58, 1 Sm 3.50, 2 Ac 3.54
Sm 0.2296 0.4591 0.6277  2 Sm 3.19, 2 Tm 3.26-3.46
Sm 0.7692 0.5383 0.7209  3 Sm 3.19-3.50, 1 Tm 3.26
Tm 0.1085 0.2170 0.4232  7 Sm 3.26-3.57, 1 Tm 3.47
Tm 0.9383 0.8766 0.2772  3 Sm 3.26-3.58, 1 Tm 3.47, 2 Ac 3.52
Tm 0.0617 0.1234 0.7772  3 Sm 3.26-3.58, 1 Tm 3.47, 2 Ac 3.52
Tm 0.8915 0.7830 0.9232  7 Sm 3.26-3.57, 1 Tm 3.47
Ac 0.6122 0.2243 0.9244  2 Tm 3.52, 5 Sm 3.54-3.88, 2 Pm 3.79
Ac 0.3878 0.7757 0.4244  2 Tm 3.52, 5 Sm 3.54-3.88, 2 Pm 3.79
Pm 0.7489 0.4978 0.4240  9 Sm 3.56-3.82, 3 Tm 3.77-3.81, 2 Ac 3.79
Pm 0.2511 0.5022 0.9240  9 Sm 3.56-3.82, 3 Tm 3.77-3.81, 2 Ac 3.79

=====

Entry 6:
AcPm4Sm2Tm | PBE-GGA | optimized geometry

Results
* magnetic moment: 0.0 Bohr magnetons per cell
* ΔE_f: 0.39 eV/atom

Cell lengths 9.6957, 9.6957, 11.9930 Å; angles 128.17, 128.17, 88.51 degrees
Closest atoms and distances in Å follow each position.
Positions (direct):
Pm 0.7347 0.7515 0.9893  3 Sm 3.27-3.54, 2 Tm 3.41-3.46, 1 Ac 3.50, 2 Pm 3.52
Pm 0.2653 0.2485 0.0107  3 Sm 3.27-3.54, 2 Tm 3.41-3.46, 1 Ac 3.50, 2 Pm 3.52
Pm 0.7292 0.2399 0.4847  1 Pm 3.29, 1 Tm 3.31, 3 Sm 3.42-3.46, 2 Ac 3.53
Pm 0.2708 0.7601 0.5153  1 Pm 3.29, 1 Tm 3.31, 3 Sm 3.42-3.46, 2 Ac 3.53
Pm 0.2601 0.7708 0.0153  1 Pm 3.29, 1 Tm 3.31, 3 Sm 3.42-3.46, 2 Ac 3.53
Pm 0.7399 0.2292 0.9847  1 Pm 3.29, 1 Tm 3.31, 3 Sm 3.42-3.46, 2 Ac 3.53
Pm 0.2515 0.2347 0.4893  3 Sm 3.27-3.54, 2 Tm 3.41-3.46, 1 Ac 3.50, 2 Pm 3.52
Pm 0.7485 0.7653 0.5107  3 Sm 3.27-3.54, 2 Tm 3.41-3.46, 1 Ac 3.50, 2 Pm 3.52
Ac 0.0000 0.5000 0.0000  6 Pm 3.50-3.53, 2 Sm 3.51
Ac 0.0000 0.5000 0.5000  6 Pm 3.50-3.53, 2 Sm 3.51
Tm 0.5000 0.5000 0.5000  6 Pm 3.31-3.46, 2 Tm 3.51
Tm 0.0000 0.0000 0.0000  6 Pm 3.31-3.46, 2 Tm 3.51
Sm 0.5000 0.0000 0.5000  6 Pm 3.27-3.42, 2 Ac 3.51
Sm 0.5000 0.5000 0.0000  6 Pm 3.46-3.54, 2 Sm 3.51
Sm 0.5000 0.0000 0.0000  6 Pm 3.27-3.42, 2 Ac 3.51
Sm 0.0000 0.0000 0.5000  6 Pm 3.46-3.54, 2 Sm 3.51